[1]
# In12Hg5Au3 PBE-GGA optimized geometry
# **Formation enthalpy at 0 K**: 51 meV per atom
# **Uncorrected energy**: -2.16 eV per atom
# **Size of the total moment**: 0.00 μB/f.u.
data_In12Hg5Au3
_symmetry_space_group_name_H-M 'I a -3 d'
_symmetry_Int_Tables_number 230
_symmetry_space_group_name_Hall '-I 4bd 2c 3'
_cell_length_a 16.7946
_cell_length_b 16.7946
_cell_length_c 16.7946
_cell_angle_alpha 90.00
_cell_angle_beta 90.00
_cell_angle_gamma 90.00
loop_
_atom_site_label
_atom_site_fract_x
_atom_site_fract_y
_atom_site_fract_z
In1 0.0153 0.0836 0.6514
Hg1 0.0000 0.0000 0.0000
Hg2 0.0000 0.2500 0.3750
Au1 0.0000 0.2500 0.1250

[2]
# InHgAu2 PBE-GGA optimized geometry
# **Formation enthalpy at 0 K**: -73 meV per atom
# **Uncorrected energy**: -2.47 eV per atom
# **Size of the total moment**: 0.00 μB/f.u.
data_InHgAu2
_symmetry_space_group_name_H-M 'P 1 m 1'
_symmetry_Int_Tables_number 6
_cell_length_a 3.7117
_cell_length_b 4.2920
_cell_length_c 5.6484
_cell_angle_alpha 90.00
_cell_angle_beta 102.94
_cell_angle_gamma 90.00
loop_
_symmetry_equiv_pos_as_xyz
'x,y,z'
'x,-y,z'
loop_
_atom_site_label
_atom_site_fract_x
_atom_site_fract_y
_atom_site_fract_z
In1 0.0000 0.0000 0.0000
Hg1 0.3180 0.5000 0.6185
Au1 0.5340 0.5000 0.1387
Au2 0.7758 0.0000 0.4818

[3]
# InHg2Au PBE-GGA optimized geometry
# **Formation enthalpy at 0 K**: 56 meV per atom
# **Uncorrected energy**: -1.60 eV per atom
# **Size of the total moment**: 0.00 μB/f.u.
data_InHg2Au
_symmetry_space_group_name_H-M 'P 4/m m m'
_symmetry_Int_Tables_number 123
_symmetry_space_group_name_Hall '-P 4 2'
_cell_length_a 3.3259
_cell_length_b 3.3259
_cell_length_c 8.4861
_cell_angle_alpha 90.00
_cell_angle_beta 90.00
_cell_angle_gamma 90.00
loop_
_atom_site_label
_atom_site_fract_x
_atom_site_fract_y
_atom_site_fract_z
In1 0.0000 0.0000 0.0000
Hg1 0.5000 0.5000 0.2758
Au1 0.0000 0.0000 0.5000

[4]
# InHg2Au8 PBE-GGA optimized geometry
# **Formation enthalpy at 0 K**: 11 meV per atom
# **Uncorrected energy**: -2.68 eV per atom
# **Size of the total moment**: 0.00 μB/f.u.
data_InHg2Au8
_symmetry_space_group_name_H-M 'P -1'
_symmetry_Int_Tables_number 2
_cell_length_a 5.5359
_cell_length_b 5.7985
_cell_length_c 7.4452
_cell_angle_alpha 68.25
_cell_angle_beta 85.17
_cell_angle_gamma 89.94
loop_
_symmetry_equiv_pos_as_xyz
'x,y,z'
'-x,-y,-z'
loop_
_atom_site_label
_atom_site_fract_x
_atom_site_fract_y
_atom_site_fract_z
In1 0.0000 0.0000 0.0000
Hg1 0.2759 0.6441 0.7065
Au1 0.1670 0.0842 0.3288
Au2 0.1715 0.5833 0.3309
Au3 0.3595 0.1704 0.6513
Au4 0.4991 0.2489 0.9994

[5]
# In2Hg4Au PBE-GGA optimized geometry
# **Formation enthalpy at 0 K**: 110 meV per atom
# **Uncorrected energy**: -1.31 eV per atom
# **Size of the total moment**: 0.00 μB/f.u.
data_In2Hg4Au
_symmetry_space_group_name_H-M 'I 4/m m m'
_symmetry_Int_Tables_number 139
_symmetry_space_group_name_Hall '-I 4 2'
_cell_length_a 5.4768
_cell_length_b 5.4768
_cell_length_c 14.7700
_cell_angle_alpha 90.00
_cell_angle_beta 90.00
_cell_angle_gamma 90.00
loop_
_atom_site_label
_atom_site_fract_x
_atom_site_fract_y
_atom_site_fract_z
In1 0.0000 0.0000 0.1113
Hg1 0.0000 0.0000 0.3088
Hg2 0.0000 0.5000 0.0000
Au1 0.0000 0.0000 0.5000

[6]
# In5Hg12Au3 PBE-GGA optimized geometry
# **Formation enthalpy at 0 K**: 118 meV per atom
# **Uncorrected energy**: -1.24 eV per atom
# **Size of the total moment**: 0.00 μB/f.u.
data_In5Hg12Au3
_symmetry_space_group_name_H-M 'I a -3 d'
_symmetry_Int_Tables_number 230
_symmetry_space_group_name_Hall '-I 4bd 2c 3'
_cell_length_a 16.9721
_cell_length_b 16.9721
_cell_length_c 16.9721
_cell_angle_alpha 90.00
_cell_angle_beta 90.00
_cell_angle_gamma 90.00
loop_
_atom_site_label
_atom_site_fract_x
_atom_site_fract_y
_atom_site_fract_z
In1 0.0000 0.0000 0.0000
In2 0.0000 0.2500 0.3750
Hg1 0.0155 0.0851 0.6527
Au1 0.0000 0.2500 0.1250

[7]
# K2InHgAu PBE-GGA optimized geometry
# **Formation enthalpy at 0 K**: -222 meV per atom
# **Uncorrected energy**: -1.92 eV per atom
# **Size of the total moment**: 0.00 μB/f.u.
# **Energy above the most stable polymorph in this dataset**: 0 meV/atom
data_K2InHgAu
_symmetry_space_group_name_H-M 'P 4/n m m'
_symmetry_Int_Tables_number 129
_cell_length_a 4.8881
_cell_length_b 4.8881
_cell_length_c 14.7048
_cell_angle_alpha 90.00
_cell_angle_beta 90.00
_cell_angle_gamma 90.00
loop_
_symmetry_equiv_pos_as_xyz
'x,y,z'
'-x,-y,-z'
'-y+1/2,x,z'
'y+1/2,-x,-z'
'-x+1/2,-y+1/2,z'
'x+1/2,y+1/2,-z'
'y,-x+1/2,z'
'-y,x+1/2,-z'
'x+1/2,-y,-z'
'-x+1/2,y,z'
'-y,-x,-z'
'y,x,z'
'-x,y+1/2,-z'
'x,-y+1/2,z'
'y+1/2,x+1/2,-z'
'-y+1/2,-x+1/2,z'
loop_
_atom_site_label
_atom_site_fract_x
_atom_site_fract_y
_atom_site_fract_z
K1 0.2500 0.2500 0.1602
K2 0.2500 0.2500 0.6829
In1 0.2500 0.7500 0.5000
Hg1 0.2500 0.2500 0.9309
Au1 0.2500 0.2500 0.4003

[8]
# KInHgAu PBE-GGA optimized geometry
# **Formation enthalpy at 0 K**: -133 meV per atom
# **Uncorrected energy**: -1.99 eV per atom
# **Size of the total moment**: 0.00 μB/f.u.
# **Energy above the most stable polymorph in this dataset**: 56 meV/atom
data_KInHgAu
_symmetry_space_group_name_H-M 'F -4 3 m'
_symmetry_Int_Tables_number 216
_symmetry_space_group_name_Hall 'F -4 2 3'
_cell_length_a 7.5917
_cell_length_b 7.5917
_cell_length_c 7.5917
_cell_angle_alpha 90.00
_cell_angle_beta 90.00
_cell_angle_gamma 90.00
loop_
_atom_site_label
_atom_site_fract_x
_atom_site_fract_y
_atom_site_fract_z
K1 0.0000 0.0000 0.0000
In1 0.0000 0.0000 0.5000
Hg1 0.2500 0.2500 0.7500
Au1 0.2500 0.2500 0.2500

[9]
# K2InHgAu PBE-GGA optimized geometry
# **Formation enthalpy at 0 K**: -127 meV per atom
# **Uncorrected energy**: -1.83 eV per atom
# **Size of the total moment**: 0.00 μB/f.u.
# **Energy above the most stable polymorph in this dataset**: 94 meV/atom
data_K2InHgAu
_symmetry_space_group_name_H-M 'P 4/m m m'
_symmetry_Int_Tables_number 123
_symmetry_space_group_name_Hall '-P 4 2'
_cell_length_a 6.4219
_cell_length_b 6.4219
_cell_length_c 5.2118
_cell_angle_alpha 90.00
_cell_angle_beta 90.00
_cell_angle_gamma 90.00
loop_
_atom_site_label
_atom_site_fract_x
_atom_site_fract_y
_atom_site_fract_z
K1 0.0000 0.5000 0.0000
In1 0.0000 0.0000 0.5000
Hg1 0.5000 0.5000 0.5000
Au1 0.0000 0.0000 0.0000

[10]
# KInHgAu PBE-GGA optimized geometry
# **Formation enthalpy at 0 K**: -189 meV per atom
# **Uncorrected energy**: -2.04 eV per atom
# **Size of the total moment**: 0.00 μB/f.u.
# **Energy above the most stable polymorph in this dataset**: 0 meV/atom
data_KInHgAu
_symmetry_space_group_name_H-M 'R 3 m'
_symmetry_Int_Tables_number 160
_symmetry_space_group_name_Hall 'R 3 -2"'
_cell_length_a 4.8445
_cell_length_b 4.8445
_cell_length_c 18.3599
_cell_angle_alpha 90.00
_cell_angle_beta 90.00
_cell_angle_gamma 120.00
loop_
_atom_site_label
_atom_site_fract_x
_atom_site_fract_y
_atom_site_fract_z
K1 0.0000 0.0000 0.0000
In1 0.0000 0.0000 0.7974
Hg1 0.0000 0.0000 0.2054
Au1 0.0000 0.0000 0.4778

[11]
# K2InHg3Au4 PBE-GGA optimized geometry
# **Formation enthalpy at 0 K**: -198 meV per atom
# **Uncorrected energy**: -2.09 eV per atom
# **Size of the total moment**: 0.00 μB/f.u.
data_K2InHg3Au4
_symmetry_space_group_name_H-M 'P -4 m 2'
_symmetry_Int_Tables_number 115
_cell_length_a 4.8692
_cell_length_b 4.8692
_cell_length_c 11.5758
_cell_angle_alpha 90.00
_cell_angle_beta 90.00
_cell_angle_gamma 90.00
loop_
_symmetry_equiv_pos_as_xyz
'x,y,z'
'y,-x,-z'
'-x,-y,z'
'-y,x,-z'
'-x,y,z'
'-y,-x,-z'
'x,-y,z'
'y,x,-z'
loop_
_atom_site_label
_atom_site_fract_x
_atom_site_fract_y
_atom_site_fract_z
K1 0.0000 0.5000 0.2333
In1 0.0000 0.0000 0.5000
Hg1 0.0000 0.5000 0.8686
Hg2 0.5000 0.5000 0.5000
Au1 0.0000 0.0000 0.0000
Au2 0.0000 0.5000 0.6282
Au3 0.5000 0.5000 0.0000

[12]
# K2In4Hg3Au PBE-GGA optimized geometry
# **Formation enthalpy at 0 K**: -169 meV per atom
# **Uncorrected energy**: -1.90 eV per atom
# **Size of the total moment**: 0.00 μB/f.u.
data_K2In4Hg3Au
_symmetry_space_group_name_H-M 'P -4 m 2'
_symmetry_Int_Tables_number 115
_cell_length_a 5.0843
_cell_length_b 5.0843
_cell_length_c 11.6756
_cell_angle_alpha 90.00
_cell_angle_beta 90.00
_cell_angle_gamma 90.00
loop_
_symmetry_equiv_pos_as_xyz
'x,y,z'
'y,-x,-z'
'-x,-y,z'
'-y,x,-z'
'-x,y,z'
'-y,-x,-z'
'x,-y,z'
'y,x,-z'
loop_
_atom_site_label
_atom_site_fract_x
_atom_site_fract_y
_atom_site_fract_z
K1 0.0000 0.5000 0.2397
In1 0.0000 0.0000 0.5000
In2 0.0000 0.5000 0.8864
In3 0.5000 0.5000 0.5000
Hg1 0.0000 0.0000 0.0000
Hg2 0.0000 0.5000 0.6375
Au1 0.5000 0.5000 0.0000

[13]
# La2In4HgAu3 PBE-GGA optimized geometry
# **Formation enthalpy at 0 K**: -506 meV per atom
# **Uncorrected energy**: -3.60 eV per atom
# **Size of the total moment**: 0.00 μB/f.u.
data_La2In4HgAu3
_symmetry_space_group_name_H-M 'P -4 m 2'
_symmetry_Int_Tables_number 115
_cell_length_a 4.6410
_cell_length_b 4.6410
_cell_length_c 11.6754
_cell_angle_alpha 90.00
_cell_angle_beta 90.00
_cell_angle_gamma 90.00
loop_
_symmetry_equiv_pos_as_xyz
'x,y,z'
'y,-x,-z'
'-x,-y,z'
'-y,x,-z'
'-x,y,z'
'-y,-x,-z'
'x,-y,z'
'y,x,-z'
loop_
_atom_site_label
_atom_site_fract_x
_atom_site_fract_y
_atom_site_fract_z
La1 0.0000 0.5000 0.2469
In1 0.0000 0.0000 0.5000
In2 0.0000 0.5000 0.8621
In3 0.5000 0.5000 0.5000
Hg1 0.5000 0.5000 0.0000
Au1 0.0000 0.0000 0.0000
Au2 0.0000 0.5000 0.6344

[14]
# LuInHgAu PBE-GGA optimized geometry
# **Formation enthalpy at 0 K**: -473 meV per atom
# **Uncorrected energy**: -3.18 eV per atom
# **Size of the total moment**: 0.00 μB/f.u.
data_LuInHgAu
_symmetry_space_group_name_H-M 'F -4 3 m'
_symmetry_Int_Tables_number 216
_symmetry_space_group_name_Hall 'F -4 2 3'
_cell_length_a 7.0653
_cell_length_b 7.0653
_cell_length_c 7.0653
_cell_angle_alpha 90.00
_cell_angle_beta 90.00
_cell_angle_gamma 90.00
loop_
_atom_site_label
_atom_site_fract_x
_atom_site_fract_y
_atom_site_fract_z
Lu1 0.0000 0.0000 0.0000
In1 0.0000 0.0000 0.5000
Hg1 0.2500 0.2500 0.7500
Au1 0.2500 0.2500 0.2500

[15]
# Mg5In2Hg2Au PBE-GGA optimized geometry
# **Formation enthalpy at 0 K**: -196 meV per atom
# **Uncorrected energy**: -1.93 eV per atom
# **Size of the total moment**: 0.00 μB/f.u.
data_Mg5In2Hg2Au
_symmetry_space_group_name_H-M 'P 4/m b m'
_symmetry_Int_Tables_number 127
_symmetry_space_group_name_Hall '-P 4 2ab'
_cell_length_a 11.9014
_cell_length_b 11.9014
_cell_length_c 3.2241
_cell_angle_alpha 90.00
_cell_angle_beta 90.00
_cell_angle_gamma 90.00
loop_
_atom_site_label
_atom_site_fract_x
_atom_site_fract_y
_atom_site_fract_z
Mg1 0.0000 0.5000 0.0000
Mg2 0.0220 0.1919 0.0000
In1 0.1764 0.6764 0.5000
Hg1 0.1430 0.3570 0.5000
Au1 0.0000 0.0000 0.5000

[16]
# NaIn2HgAu PBE-GGA optimized geometry
# **Formation enthalpy at 0 K**: -53 meV per atom
# **Uncorrected energy**: -2.13 eV per atom
# **Size of the total moment**: 0.00 μB/f.u.
data_NaIn2HgAu
_symmetry_space_group_name_H-M 'P 4/m m m'
_symmetry_Int_Tables_number 123
_symmetry_space_group_name_Hall '-P 4 2'
_cell_length_a 5.2541
_cell_length_b 5.2541
_cell_length_c 5.6591
_cell_angle_alpha 90.00
_cell_angle_beta 90.00
_cell_angle_gamma 90.00
loop_
_atom_site_label
_atom_site_fract_x
_atom_site_fract_y
_atom_site_fract_z
Na1 0.0000 0.0000 0.0000
In1 0.0000 0.5000 0.5000
Hg1 0.5000 0.5000 0.0000
Au1 0.0000 0.0000 0.5000

[17]
# Na2InHgAu PBE-GGA optimized geometry
# **Formation enthalpy at 0 K**: -87 meV per atom
# **Uncorrected energy**: -1.88 eV per atom
# **Size of the total moment**: 0.00 μB/f.u.
data_Na2InHgAu
_symmetry_space_group_name_H-M 'P 4/m m m'
_symmetry_Int_Tables_number 123
_symmetry_space_group_name_Hall '-P 4 2'
_cell_length_a 5.5722
_cell_length_b 5.5722
_cell_length_c 5.2246
_cell_angle_alpha 90.00
_cell_angle_beta 90.00
_cell_angle_gamma 90.00
loop_
_atom_site_label
_atom_site_fract_x
_atom_site_fract_y
_atom_site_fract_z
Na1 0.0000 0.5000 0.0000
In1 0.0000 0.0000 0.5000
Hg1 0.5000 0.5000 0.5000
Au1 0.0000 0.0000 0.0000

[18]
# NaInHgAu PBE-GGA optimized geometry
# **Formation enthalpy at 0 K**: -217 meV per atom
# **Uncorrected energy**: -2.13 eV per atom
# **Size of the total moment**: 0.00 μB/f.u.
data_NaInHgAu
_symmetry_space_group_name_H-M 'F -4 3 m'
_symmetry_Int_Tables_number 216
_symmetry_space_group_name_Hall 'F -4 2 3'
_cell_length_a 7.1217
_cell_length_b 7.1217
_cell_length_c 7.1217
_cell_angle_alpha 90.00
_cell_angle_beta 90.00
_cell_angle_gamma 90.00
loop_
_atom_site_label
_atom_site_fract_x
_atom_site_fract_y
_atom_site_fract_z
Na1 0.0000 0.0000 0.0000
In1 0.0000 0.0000 0.5000
Hg1 0.2500 0.2500 0.7500
Au1 0.2500 0.2500 0.2500